The following is a PBE-GGA calculation of a geometry-optimized KTcPt2 structure, from Alexandria.

Cell: 10.239 10.239 10.239 Å, 15.92 15.92 15.92°
Atoms (fractional coordinates):
Pt  0.990  0.990  0.990
Pt  0.510  0.510  0.510
Tc  0.250  0.250  0.250
K  0.750  0.750  0.750

Properties
E above lowest polymorph = 199 meV per atom
E = -5.6052 eV/atom
crystal system = trigonal
energy of formation from the pure elements = 0.28 eV/atom
magnetization = 0.00 μB per atom
density = 12.4 g cm⁻³

---

The following is a PBE-GGA calculation of a geometry-optimized CaHfOs2 structure, from Alexandria.

Cell: 7.389 4.322 11.926 Å, 90.00 110.44 90.00°
Atoms (fractional coordinates):
Ca  0.768  0.000  0.500
Ca  0.232  0.000  0.500
Ca  0.768  0.500  0.000
Ca  0.232  0.500  0.000
Hf  0.672  0.000  0.757
Hf  0.672  0.500  0.257
Hf  0.328  0.500  0.743
Hf  0.328  0.000  0.243
Os  0.439  0.000  0.889
Os  0.918  0.500  0.743
Os  0.082  0.500  0.257
Os  0.439  0.500  0.389
Os  0.918  0.000  0.243
Os  0.561  0.000  0.111
Os  0.082  0.000  0.757
Os  0.561  0.500  0.611

Properties
E above lowest polymorph = 0 meV per atom
E = -8.6606 eV/atom
crystal system = monoclinic
energy of formation from the pure elements = -0.06 eV/atom
magnetization = 0.00 μB per atom
density = 11.1 g cm⁻³